Record 1
# GGA-PBE Cd2TcNi, optimized geometry
# ΔE to the lowest computed polymorph (meV/atom): 583.7
# Spin magnetization (μB per cell): 5.14
# Symmetry: I-42d
# Formation enthalpy at 0 K (eV per atom): 0.75
# Calculated total energy (eV/atom): -3.740
data_Cd2TcNi
_chemical_formula_sum 'Cd4 Tc2 Ni2'
_cell_length_a 5.8593
_cell_length_b 5.8593
_cell_length_c 5.8593
_cell_angle_alpha 102.02
_cell_angle_beta 102.02
_cell_angle_gamma 125.70
_space_group_name_H-M_alt 'P 1'
_space_group_IT_number 1
loop_
_space_group_symop_operation_xyz
'x,y,z'
loop_
_atom_site_label
_atom_site_fract_x
_atom_site_fract_y
_atom_site_fract_z
Cd1 0.0980 0.6250 0.9730
Cd2 0.3750 0.3481 0.4730
Cd3 0.6520 0.1250 0.0270
Cd4 0.8750 0.9020 0.5270
Tc1 0.2500 0.7500 0.5000
Tc2 0.5000 0.5000 0.0000
Ni1 0.0000 0.0000 0.0000
Ni2 0.7500 0.2500 0.5000



Record 2
# GGA-PBE KHSe2Br, optimized geometry
# ΔE to the lowest computed polymorph (meV/atom): 1020.0
# Spin magnetization (μB per cell): 5.01
# Symmetry: P4/mmm
# Calculated total energy (eV/atom): -1.803
data_KHSe2Br
_chemical_formula_sum 'K1 H1 Se2 Br1'
_cell_length_a 6.5984
_cell_length_b 6.5984
_cell_length_c 6.1974
_cell_angle_alpha 90.00
_cell_angle_beta 90.00
_cell_angle_gamma 90.00
_space_group_name_H-M_alt 'P 1'
_space_group_IT_number 1
loop_
_space_group_symop_operation_xyz
'x,y,z'
loop_
_atom_site_label
_atom_site_fract_x
_atom_site_fract_y
_atom_site_fract_z
K1 0.0000 0.0000 0.0000
H1 0.5000 0.5000 0.5000
Se1 0.0000 0.5000 0.0000
Se2 0.5000 0.0000 0.0000
Br1 0.0000 0.0000 0.5000



Record 3
# GGA-PBE Er5Ga2Si2, optimized geometry
# Spin magnetization (μB per cell): 0.00
# Symmetry: Cmce
# Formation energy without anion corrections (eV per atom): -0.633
# Calculated total energy (eV/atom): -5.046
data_Er5Ga2Si2
_chemical_formula_sum 'Er10 Ga4 Si4'
_cell_length_a 8.3489
_cell_length_b 8.3489
_cell_length_c 7.4890
_cell_angle_alpha 90.00
_cell_angle_beta 90.00
_cell_angle_gamma 53.51
_space_group_name_H-M_alt 'P 1'
_space_group_IT_number 1
loop_
_space_group_symop_operation_xyz
'x,y,z'
loop_
_atom_site_label
_atom_site_fract_x
_atom_site_fract_y
_atom_site_fract_z
Er1 0.0000 0.0000 0.0000
Er2 0.0494 0.6816 0.6789
Er3 0.1816 0.5494 0.1789
Er4 0.3184 0.9506 0.6789
Er5 0.4506 0.8184 0.1789
Er6 0.5000 0.5000 0.5000
Er7 0.5494 0.1816 0.8211
Er8 0.6816 0.0494 0.3211
Er9 0.8184 0.4506 0.8211
Er10 0.9506 0.3184 0.3211
Ga1 0.2139 0.2139 0.0000
Ga2 0.2861 0.2861 0.5000
Ga3 0.7139 0.7139 0.5000
Ga4 0.7861 0.7861 0.0000
Si1 0.1162 0.8838 0.3809
Si2 0.3838 0.6162 0.8809
Si3 0.6162 0.3838 0.1191
Si4 0.8838 0.1162 0.6191



Record 4
# GGA-PBE Pa2CuNi4As3, optimized geometry
# Spin magnetization (μB per cell): 0.00
# Symmetry: P-4m2
# Formation enthalpy at 0 K (eV per atom): -0.63
# Calculated total energy (eV/atom): -6.642
data_Pa2CuNi4As3
_chemical_formula_sum 'Pa2 Cu1 Ni4 As3'
_cell_length_a 3.9883
_cell_length_b 3.9883
_cell_length_c 9.8605
_cell_angle_alpha 90.00
_cell_angle_beta 90.00
_cell_angle_gamma 90.00
_space_group_name_H-M_alt 'P 1'
_space_group_IT_number 1
loop_
_space_group_symop_operation_xyz
'x,y,z'
loop_
_atom_site_label
_atom_site_fract_x
_atom_site_fract_y
_atom_site_fract_z
Pa1 0.0000 0.5000 0.2505
Pa2 0.5000 0.0000 0.7495
Cu1 0.0000 0.0000 0.5000
Ni1 0.0000 0.0000 0.0000
Ni2 0.0000 0.5000 0.6378
Ni3 0.5000 0.0000 0.3622
Ni4 0.5000 0.5000 0.0000
As1 0.0000 0.5000 0.8687
As2 0.5000 0.0000 0.1313
As3 0.5000 0.5000 0.5000



What is the formula in the first record?
Cd2TcNi